The following is a PBE+U calculation of an optimized crystal structure of LiMnPO4, from the Alexandria database.

Lattice parameters (Å, degrees): 5.6333 5.6333 5.6333 134.36 134.36 66.53
Positions (direct):
Li 0.0000 0.0000 0.0000
Mn 0.2500 0.7500 0.5000
P 0.5000 0.5000 0.0000
O 0.2144 0.6246 0.0305
O 0.3754 0.4058 0.5897
O 0.5942 0.1839 0.9695
O 0.8161 0.7856 0.4103

density of states at the Fermi level = 0.0 states/eV/cell
size of the total moment = 5.0 μB per cell
E = -49.8 eV/cell